1.
The following is a DFT calculation (PBE) of a relaxed Nd3ErAu4 crystal.

abc: 3.663 3.663 14.841
angles: 90.00 90.00 90.00
Positions (direct):
Nd: 0.000 0.000 0.000
Nd: 0.000 0.000 0.255
Nd: 0.000 0.000 0.745
Er: 0.000 0.000 0.500
Au: 0.500 0.500 0.126
Au: 0.500 0.500 0.389
Au: 0.500 0.500 0.611
Au: 0.500 0.500 0.874

## Properties
Density   11.57 g cm⁻³
Raw total energy   -38.3 eV for the cell shown
Formation energy   -76.5 kJ per mole of atoms
SG   P4/mmm, No. 123

=====

2.
The following is a DFT calculation (PBE) of a relaxed NdEr4Au5 crystal.

abc: 3.565 3.565 18.292
angles: 90.00 90.00 90.00
Positions (direct):
Nd: 0.000 0.000 0.000
Er: 0.000 0.000 0.205
Er: 0.000 0.000 0.402
Er: 0.000 0.000 0.598
Er: 0.000 0.000 0.795
Au: 0.500 0.500 0.112
Au: 0.500 0.500 0.304
Au: 0.500 0.500 0.500
Au: 0.500 0.500 0.696
Au: 0.500 0.500 0.888

## Properties
Density   12.84 g cm⁻³
Raw total energy   -48.0 eV for the cell shown
Formation energy   -83.1 kJ per mole of atoms
SG   P4/mmm, No. 123

=====

3.
The following is a DFT calculation (PBE) of a relaxed Nd2ErAu6 crystal.

abc: 6.647 6.647 5.546
angles: 90.00 90.00 120.00
Positions (direct):
Nd: 0.333 0.667 0.336
Nd: 0.667 0.333 0.664
Er: 0.000 0.000 0.500
Au: 0.188 0.376 0.822
Au: 0.188 0.812 0.822
Au: 0.376 0.188 0.178
Au: 0.624 0.812 0.822
Au: 0.812 0.188 0.178
Au: 0.812 0.624 0.178

## Properties
Density   12.81 g cm⁻³
Raw total energy   -39.6 eV for the cell shown
Formation energy   -62.4 kJ per mole of atoms
SG   P-3m1, No. 164

=====

4.
The following is a DFT calculation (PBE) of a relaxed NdErAu4 crystal.

abc: 3.788 3.788 9.178
angles: 90.00 90.00 90.00
Positions (direct):
Nd: 0.000 0.000 0.000
Er: 0.500 0.500 0.500
Au: 0.000 0.000 0.341
Au: 0.000 0.000 0.659
Au: 0.500 0.500 0.174
Au: 0.500 0.500 0.826

## Properties
Density   13.86 g cm⁻³
Raw total energy   -27.3 eV for the cell shown
Formation energy   -78.8 kJ per mole of atoms
SG   P4/mmm, No. 123

=====

5.
The following is a DFT calculation (PBE) of a relaxed NdErAu crystal.

abc: 5.038 5.038 5.038
angles: 60.00 60.00 60.00
Positions (direct):
Nd: 0.000 0.000 0.000
Er: 0.500 0.500 0.500
Au: 0.750 0.750 0.750

## Properties
Density   9.34 g cm⁻³
Raw total energy   -13.8 eV for the cell shown
Formation energy   -39.3 kJ per mole of atoms
SG   F-43m, No. 216

=====

6.
The following is a DFT calculation (PBE) of a relaxed Nd5ErAu6 crystal.

abc: 9.052 9.052 5.230
angles: 106.66 106.66 47.99
Positions (direct):
Nd: 0.000 0.000 0.000
Nd: 0.165 0.165 0.665
Nd: 0.331 0.331 0.331
Nd: 0.669 0.669 0.669
Nd: 0.835 0.835 0.335
Er: 0.500 0.500 0.000
Au: 0.100 0.579 0.840
Au: 0.270 0.730 0.500
Au: 0.421 0.900 0.160
Au: 0.579 0.100 0.840
Au: 0.730 0.270 0.500
Au: 0.900 0.421 0.160

## Properties
Density   11.37 g cm⁻³
Raw total energy   -57.4 eV for the cell shown
Formation energy   -75.3 kJ per mole of atoms
SG   C2/m, No. 12

=====

7.
The following is a DFT calculation (PBE) of a relaxed NdEr3Au2 crystal.

abc: 8.493 8.493 8.487
angles: 112.82 112.82 35.45
Positions (direct):
Nd: 0.135 0.135 0.202
Nd: 0.865 0.865 0.798
Er: 0.064 0.064 0.734
Er: 0.306 0.306 0.006
Er: 0.373 0.373 0.492
Er: 0.627 0.627 0.508
Er: 0.694 0.694 0.994
Er: 0.936 0.936 0.266
Au: 0.217 0.217 0.630
Au: 0.496 0.496 0.163
Au: 0.504 0.504 0.837
Au: 0.783 0.783 0.370

## Properties
Density   10.65 g cm⁻³
Raw total energy   -56.1 eV for the cell shown
Formation energy   -48.8 kJ per mole of atoms
SG   C2/m, No. 12

=====

8.
The following is a DFT calculation (PBE) of a relaxed NdEr2Au3 crystal.

abc: 3.584 3.584 11.026
angles: 90.00 90.00 90.00
Positions (direct):
Nd: 0.000 0.000 0.000
Er: 0.000 0.000 0.338
Er: 0.000 0.000 0.662
Au: 0.500 0.500 0.185
Au: 0.500 0.500 0.500
Au: 0.500 0.500 0.815

## Properties
Density   12.54 g cm⁻³
Raw total energy   -28.8 eV for the cell shown
Formation energy   -81.7 kJ per mole of atoms
SG   P4/mmm, No. 123

=====

9.
The following is a DFT calculation (PBE) of a relaxed Nd2Er3Au2 crystal.

abc: 6.718 6.718 9.200
angles: 115.90 115.90 32.26
Positions (direct):
Nd: 0.151 0.151 0.314
Nd: 0.849 0.849 0.686
Er: 0.385 0.385 0.053
Er: 0.500 0.500 0.500
Er: 0.615 0.615 0.947
Au: 0.165 0.165 0.736
Au: 0.835 0.835 0.264

## Properties
Density   9.96 g cm⁻³
Raw total energy   -33.3 eV for the cell shown
Formation energy   -49.1 kJ per mole of atoms
SG   C2/m, No. 12

=====

10.
The following is a DFT calculation (PBE) of a relaxed NdEr3Au2 crystal.

abc: 4.957 8.941 7.175
angles: 90.00 90.00 90.00
Positions (direct):
Nd: 0.000 0.075 0.000
Nd: 0.000 0.925 0.500
Er: 0.000 0.332 0.636
Er: 0.000 0.668 0.136
Er: 0.500 0.172 0.338
Er: 0.500 0.430 0.973
Er: 0.500 0.570 0.473
Er: 0.500 0.828 0.838
Au: 0.000 0.355 0.237
Au: 0.000 0.645 0.737
Au: 0.500 0.158 0.740
Au: 0.500 0.842 0.240

## Properties
Density   10.86 g cm⁻³
Raw total energy   -57.5 eV for the cell shown
Formation energy   -60.5 kJ per mole of atoms
SG   Pmc2_1, No. 26

=====

11.
The following is a DFT calculation (PBE) of a relaxed NdEr2Au4 crystal.

abc: 6.108 6.108 5.047
angles: 90.00 90.00 108.08
Positions (direct):
Nd: 0.000 0.000 0.000
Er: 0.282 0.718 0.500
Er: 0.718 0.282 0.500
Au: 0.000 0.500 0.000
Au: 0.219 0.219 0.500
Au: 0.500 0.000 0.000
Au: 0.781 0.781 0.500

## Properties
Density   11.75 g cm⁻³
Raw total energy   -31.8 eV for the cell shown
Formation energy   -66.0 kJ per mole of atoms
SG   Cmmm, No. 65

=====

12.
The following is a DFT calculation (PBE) of a relaxed Nd2ErAu crystal.

abc: 10.469 10.469 10.469
angles: 20.49 20.49 20.49
Positions (direct):
Nd: 0.239 0.239 0.239
Nd: 0.761 0.761 0.761
Er: 0.000 0.000 0.000
Au: 0.500 0.500 0.500

## Properties
Density   8.80 g cm⁻³
Raw total energy   -18.3 eV for the cell shown
Formation energy   -22.8 kJ per mole of atoms
SG   R-3m, No. 166

=====

13.
The following is a DFT calculation (PBE) of a relaxed Nd2ErAu crystal.

abc: 3.739 3.739 8.450
angles: 90.00 90.00 90.00
Positions (direct):
Nd: 0.000 0.000 0.214
Nd: 0.000 0.000 0.786
Er: 0.500 0.500 0.500
Au: 0.500 0.500 0.000

## Properties
Density   9.17 g cm⁻³
Raw total energy   -18.7 eV for the cell shown
Formation energy   -32.6 kJ per mole of atoms
SG   P4/mmm, No. 123

=====

14.
The following is a DFT calculation (PBE) of a relaxed NdErAu2 crystal.

abc: 3.602 3.602 7.432
angles: 90.00 90.00 90.00
Positions (direct):
Nd: 0.000 0.000 0.000
Er: 0.000 0.000 0.500
Au: 0.500 0.500 0.275
Au: 0.500 0.500 0.725

## Properties
Density   12.15 g cm⁻³
Raw total energy   -19.2 eV for the cell shown
Formation energy   -80.0 kJ per mole of atoms
SG   P4/mmm, No. 123

=====

15.
The following is a DFT calculation (PBE) of a relaxed NdErAu crystal.

abc: 7.394 4.905 13.714
angles: 90.00 92.67 90.00
Positions (direct):
Nd: 0.002 0.250 0.285
Nd: 0.388 0.250 0.080
Nd: 0.482 0.250 0.377
Nd: 0.518 0.750 0.623
Nd: 0.612 0.750 0.920
Nd: 0.998 0.750 0.715
Er: 0.040 0.750 0.088
Er: 0.140 0.750 0.455
Er: 0.339 0.250 0.781
Er: 0.661 0.750 0.219
Er: 0.860 0.250 0.545
Er: 0.960 0.250 0.912
Au: 0.211 0.750 0.904
Au: 0.251 0.250 0.566
Au: 0.281 0.750 0.257
Au: 0.719 0.250 0.743
Au: 0.749 0.750 0.434
Au: 0.789 0.250 0.096

## Properties
Density   10.20 g cm⁻³
Raw total energy   -86.3 eV for the cell shown
Formation energy   -57.0 kJ per mole of atoms
SG   P2_1/m, No. 11

=====

16.
The following is a DFT calculation (PBE) of a relaxed NdEr2Au2 crystal.

abc: 8.232 8.232 3.778
angles: 90.00 90.00 90.00
Positions (direct):
Nd: 0.000 0.000 0.000
Nd: 0.500 0.500 0.000
Er: 0.161 0.339 0.500
Er: 0.339 0.839 0.500
Er: 0.661 0.161 0.500
Er: 0.839 0.661 0.500
Au: 0.131 0.631 0.000
Au: 0.369 0.131 0.000
Au: 0.631 0.869 0.000
Au: 0.869 0.369 0.000

## Properties
Density   11.32 g cm⁻³
Raw total energy   -47.8 eV for the cell shown
Formation energy   -66.2 kJ per mole of atoms
SG   P4/mbm, No. 127

=====

17.
The following is a DFT calculation (PBE) of a relaxed NdEr3Au4 crystal.

abc: 8.936 8.936 8.936
angles: 33.00 33.00 33.00
Positions (direct):
Nd: 0.000 0.000 0.000
Er: 0.249 0.249 0.249
Er: 0.500 0.500 0.500
Er: 0.751 0.751 0.751
Au: 0.128 0.128 0.128
Au: 0.381 0.381 0.381
Au: 0.619 0.619 0.619
Au: 0.872 0.872 0.872

## Properties
Density   12.64 g cm⁻³
Raw total energy   -38.3 eV for the cell shown
Formation energy   -81.6 kJ per mole of atoms
SG   R-3m, No. 166

=====

18.
The following is a DFT calculation (PBE) of a relaxed NdErAu crystal.

abc: 4.908 4.908 4.031
angles: 90.00 90.00 120.00
Positions (direct):
Nd: 0.000 0.000 0.000
Er: 0.667 0.333 0.484
Au: 0.333 0.667 0.619

## Properties
Density   10.04 g cm⁻³
Raw total energy   -13.8 eV for the cell shown
Formation energy   -39.2 kJ per mole of atoms
SG   P3m1, No. 156

=====

19.
The following is a DFT calculation (PBE) of a relaxed NdEr5Au6 crystal.

abc: 8.842 8.842 8.842
angles: 146.51 132.47 59.39
Positions (direct):
Nd: 0.000 0.000 0.000
Er: 0.165 0.665 0.500
Er: 0.332 0.332 0.000
Er: 0.500 0.000 0.500
Er: 0.668 0.668 0.000
Er: 0.835 0.335 0.500
Au: 0.086 0.828 0.258
Au: 0.266 0.500 0.766
Au: 0.430 0.172 0.258
Au: 0.570 0.828 0.742
Au: 0.734 0.500 0.234
Au: 0.914 0.172 0.742

## Properties
Density   12.87 g cm⁻³
Raw total energy   -57.5 eV for the cell shown
Formation energy   -82.7 kJ per mole of atoms
SG   Immm, No. 71

=====

20.
The following is a DFT calculation (PBE) of a relaxed NdErOsAu crystal.

abc: 5.009 5.009 5.009
angles: 60.00 60.00 60.00
Positions (direct):
Nd: 0.000 0.000 0.000
Er: 0.500 0.500 0.500
Os: 0.750 0.750 0.750
Au: 0.250 0.250 0.250

## Properties
Density   13.05 g cm⁻³
Raw total energy   -25.4 eV for the cell shown
Formation energy   -37.0 kJ per mole of atoms
SG   F-43m, No. 216

=====

21.
The following is a DFT calculation (PBE) of a relaxed NdErPbAu crystal.

abc: 5.327 5.327 5.327
angles: 60.00 60.00 60.00
Positions (direct):
Nd: 0.000 0.000 0.000
Er: 0.500 0.500 0.500
Pb: 0.250 0.250 0.250
Au: 0.750 0.750 0.750

## Properties
Density   11.12 g cm⁻³
Raw total energy   -18.7 eV for the cell shown
Formation energy   -57.2 kJ per mole of atoms
SG   F-43m, No. 216

=====

22.
The following is a DFT calculation (PBE) of a relaxed NdErPdAu crystal.

abc: 4.745 5.687 5.687
angles: 39.11 90.00 90.00
Positions (direct):
Nd: 0.000 0.000 0.000
Er: 0.500 0.724 0.724
Pd: 0.000 0.273 0.273
Au: 0.500 0.443 0.443

## Properties
Density   10.55 g cm⁻³
Raw total energy   -21.2 eV for the cell shown
Formation energy   -82.3 kJ per mole of atoms
SG   Amm2, No. 38

=====

23.
The following is a DFT calculation (PBE) of a relaxed NdErPdAu crystal.

abc: 5.096 5.096 5.096
angles: 60.00 60.00 60.00
Positions (direct):
Nd: 0.000 0.000 0.000
Er: 0.500 0.500 0.500
Pd: 0.750 0.750 0.750
Au: 0.250 0.250 0.250

## Properties
Density   10.91 g cm⁻³
Raw total energy   -21.0 eV for the cell shown
Formation energy   -77.9 kJ per mole of atoms
SG   F-43m, No. 216

=====

24.
The following is a DFT calculation (PBE) of a relaxed NdErRhAu crystal.

abc: 4.639 5.604 5.604
angles: 39.97 90.00 90.00
Positions (direct):
Nd: 0.000 0.000 0.000
Er: 0.500 0.281 0.281
Rh: 0.000 0.737 0.737
Au: 0.500 0.565 0.565

## Properties
Density   10.85 g cm⁻³
Raw total energy   -23.2 eV for the cell shown
Formation energy   -77.7 kJ per mole of atoms
SG   Amm2, No. 38

=====

25.
The following is a DFT calculation (PBE) of a relaxed NdErRhAu crystal.

abc: 5.040 5.040 5.040
angles: 60.00 60.00 60.00
Positions (direct):
Nd: 0.000 0.000 0.000
Er: 0.500 0.500 0.500
Rh: 0.250 0.250 0.250
Au: 0.750 0.750 0.750

## Properties
Density   11.22 g cm⁻³
Raw total energy   -23.0 eV for the cell shown
Formation energy   -73.0 kJ per mole of atoms
SG   F-43m, No. 216

=====

26.
The following is a DFT calculation (PBE) of a relaxed NdErSiAu crystal.

abc: 5.115 5.115 5.115
angles: 60.00 60.00 60.00
Positions (direct):
Nd: 0.000 0.000 0.000
Er: 0.500 0.500 0.500
Si: 0.750 0.750 0.750
Au: 0.250 0.250 0.250

## Properties
Formation energy without anion corrections   -2.49 eV per formula unit
Density   9.41 g cm⁻³
Raw total energy   -20.5 eV for the cell shown
SG   F-43m, No. 216